A plane-wave DFT calculation with PBE+U was carried out for a relaxed structure of CsFeGe2O6.

Results
Theoretical density: 4.2 Mg/m³
M_tot: 4.996 μB per formula unit
Symmetry: No. 15
E: -122.81 eV for the cell shown

Cell lengths 5.869, 7.881, 7.881 Å; angles 98.35, 77.92, 77.92 degrees
Last column: magnetic moment on the atom in μB.
Fractional positions:
Cs1 0.250 0.869 0.131  0.00
Cs2 0.750 0.131 0.869  0.00
Fe1 0.250 0.273 0.727  4.26
Fe2 0.750 0.727 0.273  4.26
Ge1 0.372 0.799 0.638  0.03
Ge2 0.128 0.362 0.201  0.03
Ge3 0.628 0.201 0.362  0.03
Ge4 0.872 0.638 0.799  0.03
O1 0.264 0.030 0.670  0.12
O2 0.236 0.330 0.970  0.12
O3 0.736 0.970 0.330  0.12
O4 0.764 0.670 0.030  0.12
O5 0.467 0.693 0.416  0.13
O6 0.033 0.584 0.307  0.13
O7 0.533 0.307 0.584  0.13
O8 0.967 0.416 0.693  0.13
O9 0.123 0.741 0.772  0.01
O10 0.377 0.228 0.259  0.01
O11 0.877 0.259 0.228  0.01
O12 0.623 0.772 0.741  0.01